Entry 1:
! GGA-PBEsol La6Cu6O17, relaxed; values from VASP
! Uncorrected formation energy, eV per atom: -2.0569
! DOS at the Fermi energy, states/eV/atom: 0.26
! Polymorph energy (0 for the lowest one), meV/atom: 0
! Density, Mg/m³: 6.2
! DFT total energy, eV per cell: -206.972
! Space-group type: C2/m
&SYSTEM
  ibrav = 0, nat = 29, ntyp = 3
/
ATOMIC_SPECIES
O 16.00 O.upf
La 138.91 La.upf
Cu 63.55 Cu.upf
CELL_PARAMETERS angstrom
-3.5866 -5.3420 -1.8014
0.5470 -5.7068 3.4424
-8.3107 2.0586 5.9172
ATOMIC_POSITIONS crystal
O 0.1686 0.6627 0.5000
O 0.4402 0.3244 0.3301
O 0.4735 0.6636 0.1428
O 0.1178 0.0000 0.3328
O 0.8106 0.0000 0.1430
O 0.1667 0.6665 0.0000
O 0.5000 0.0000 0.5000
O 0.8333 0.3335 0.0000
O 0.2354 0.3244 0.6699
O 0.1894 0.0000 0.8570
O 0.8822 0.0000 0.6672
O 0.8629 0.6636 0.8572
O 0.7646 0.6756 0.3301
O 0.5265 0.3364 0.8572
O 0.5598 0.6756 0.6699
O 0.8314 0.3373 0.5000
O 0.1371 0.3364 0.1428
La 0.4589 0.0000 0.2369
La 0.2115 0.6668 0.7412
La 0.1217 0.6668 0.2588
La 0.5411 0.0000 0.7631
La 0.7885 0.3332 0.2588
La 0.8783 0.3332 0.7412
Cu 0.0000 0.5000 0.0000
Cu 0.5000 0.5000 0.0000
Cu 0.0000 0.0000 0.5000
Cu 0.0000 0.0000 0.0000
Cu 0.6631 0.6738 0.5000
Cu 0.3369 0.3262 0.5000

Entry 2:
! GGA-PBEsol CdAgMo2, relaxed; values from VASP
! DOS at the Fermi energy, states/eV/atom: 0.50
! Density, Mg/m³: 10.4
! DFT total energy, eV per cell: -26.330
! Space-group type: Cm
! Energy of formation from the pure elements, meV/atom: 428.4
&SYSTEM
  ibrav = 0, nat = 4, ntyp = 3
/
ATOMIC_SPECIES
Cd 112.41 Cd.upf
Mo 95.94 Mo.upf
Ag 107.87 Ag.upf
CELL_PARAMETERS angstrom
-0.8680 -2.0443 1.4181
4.8646 -0.3767 -0.0138
-0.1507 3.0763 4.3424
ATOMIC_POSITIONS crystal
Cd 0.7520 0.5041 0.2647
Mo 0.0032 0.0064 0.9743
Mo 0.2441 0.4883 0.7722
Ag 0.5006 0.0012 0.4888

Entry 3:
! GGA-PBEsol Zn2NiCl, relaxed; values from VASP
! Uncorrected formation energy, eV per atom: 0.0682
! DOS at the Fermi energy, states/eV/atom: 0.56
! Polymorph energy (0 for the lowest one), meV/atom: 0
! Density, Mg/m³: 6.6
! DFT total energy, eV per cell: -11.056
! Space-group type: Cmmm
&SYSTEM
  ibrav = 0, nat = 4, ntyp = 3
/
ATOMIC_SPECIES
Zn 65.41 Zn.upf
Cl 35.45 Cl.upf
Ni 58.69 Ni.upf
CELL_PARAMETERS angstrom
2.9414 0.0000 0.0000
0.0000 4.5373 -0.0175
0.0000 -1.5939 4.2482
ATOMIC_POSITIONS crystal
Zn 0.0000 0.0000 0.5000
Zn 0.0000 0.5000 0.0000
Cl 0.5000 0.0000 0.0000
Ni 0.5000 0.5000 0.5000

Entry 4:
! GGA-PBEsol CaCoAs2O7, relaxed; values from VASP
! Uncorrected formation energy, eV per atom: -1.5103
! DOS at the Fermi energy, states/eV/atom: 0.16
! Density, Mg/m³: 4.2
! DFT total energy, eV per cell: -293.765
! Space-group type: P2_1/c
&SYSTEM
  ibrav = 0, nat = 44, ntyp = 4
/
ATOMIC_SPECIES
As 74.92 As.upf
O 16.00 O.upf
Ca 40.08 Ca.upf
Co 58.93 Co.upf
CELL_PARAMETERS angstrom
-0.2526 7.0909 -1.9497
-8.9352 -0.4306 -0.4083
-0.3783 -0.8936 9.2225
ATOMIC_POSITIONS crystal
As 0.9902 0.3017 0.0483
As 0.4179 0.7600 0.7314
As 0.9902 0.1983 0.5483
As 0.5821 0.2400 0.2686
As 0.4179 0.7400 0.2314
As 0.5821 0.2600 0.7686
As 0.0098 0.6983 0.9517
As 0.0098 0.8017 0.4517
O 0.2482 0.6425 0.0693
O 0.3661 0.2360 0.2956
O 0.7518 0.1425 0.4307
O 0.0204 0.4194 0.1981
O 0.6645 0.0790 0.7882
O 0.4238 0.8601 0.8880
O 0.4238 0.6399 0.3880
O 0.0019 0.8827 0.9028
O 0.6645 0.4210 0.2882
O 0.3355 0.5790 0.7118
O 0.5762 0.3601 0.6120
O 0.5762 0.1399 0.1120
O 0.1509 0.1875 0.4546
O 0.3661 0.2640 0.7956
O 0.8491 0.6875 0.0454
O 0.0019 0.6173 0.4028
O 0.9796 0.9194 0.3019
O 0.9796 0.5806 0.8019
O 0.7518 0.3575 0.9307
O 0.3355 0.9210 0.2118
O 0.1509 0.3125 0.9546
O 0.8491 0.8125 0.5454
O 0.9981 0.3827 0.5972
O 0.0204 0.0806 0.6981
O 0.6339 0.7360 0.2044
O 0.9981 0.1173 0.0972
O 0.6339 0.7640 0.7044
O 0.2482 0.8575 0.5693
Ca 0.7421 0.5636 0.5546
Ca 0.2579 0.4364 0.4454
Ca 0.2579 0.0636 0.9454
Ca 0.7421 0.9364 0.0546
Co 0.1932 0.0528 0.3017
Co 0.8068 0.5528 0.1983
Co 0.1932 0.4472 0.8017
Co 0.8068 0.9472 0.6983

Entry 5:
! GGA-PBEsol NaCu2Rh, relaxed; values from VASP
! DOS at the Fermi energy, states/eV/atom: 0.26
! Density, Mg/m³: 7.7
! DFT total energy, eV per cell: -16.712
! Space-group type: Fm-3m
! Energy of formation from the pure elements, meV/atom: 373.7
&SYSTEM
  ibrav = 0, nat = 4, ntyp = 3
/
ATOMIC_SPECIES
Rh 102.91 Rh.upf
Na 22.99 Na.upf
Cu 63.55 Cu.upf
CELL_PARAMETERS angstrom
-4.0921 1.1313 -0.3919
-2.6225 -2.3008 -2.4510
-3.0507 -2.3804 1.7903
ATOMIC_POSITIONS crystal
Rh 0.5000 0.5000 0.5000
Na 0.0000 0.0000 0.0000
Cu 0.7500 0.7500 0.7500
Cu 0.2500 0.2500 0.2500

Entry 6:
! GGA-PBEsol Ca2CdW, relaxed; values from VASP
! DOS at the Fermi energy, states/eV/atom: 0.74
! Density, Mg/m³: 6.8
! DFT total energy, eV per cell: -16.031
! Space-group type: F-43m
! Energy of formation from the pure elements, meV/atom: 810.0
&SYSTEM
  ibrav = 0, nat = 4, ntyp = 3
/
ATOMIC_SPECIES
W 183.84 W.upf
Ca 40.08 Ca.upf
Cd 112.41 Cd.upf
CELL_PARAMETERS angstrom
5.0688 0.0000 0.0000
2.5344 4.3897 0.0000
2.5344 1.4632 4.1386
ATOMIC_POSITIONS crystal
W 0.2500 0.2500 0.2500
Ca 0.7500 0.7500 0.7500
Ca 0.0000 0.0000 0.0000
Cd 0.5000 0.5000 0.5000

Entry 7:
! GGA-PBEsol Zr2Co2Si, relaxed; values from VASP
! Uncorrected formation energy, eV per atom: -0.6204
! DOS at the Fermi energy, states/eV/atom: 0.95
! Density, Mg/m³: 7.2
! DFT total energy, eV per cell: -85.005
! Space-group type: C2/m
&SYSTEM
  ibrav = 0, nat = 10, ntyp = 3
/
ATOMIC_SPECIES
Si 28.09 Si.upf
Co 58.93 Co.upf
Zr 91.22 Zr.upf
CELL_PARAMETERS angstrom
3.6113 0.0000 0.0000
1.8056 4.7172 -0.0215
1.8056 0.6036 8.8300
ATOMIC_POSITIONS crystal
Si 0.2931 0.0837 0.3302
Si 0.7069 0.9163 0.6698
Co 0.3406 0.7748 0.5441
Co 0.6594 0.2252 0.4559
Co 0.4719 0.1636 0.8926
Co 0.5281 0.8364 0.1074
Zr 0.8102 0.2750 0.1046
Zr 0.1898 0.7250 0.8954
Zr 0.0090 0.6536 0.3283
Zr 0.9910 0.3464 0.6717

Entry 8:
! GGA-PBEsol OsRu3, relaxed; values from VASP
! DOS at the Fermi energy, states/eV/atom: 1.03
! Density, Mg/m³: 15.2
! DFT total energy, eV per cell: -42.250
! Space-group type: P4/mmm
! Energy of formation from the pure elements, meV/atom: 120.7
&SYSTEM
  ibrav = 0, nat = 4, ntyp = 2
/
ATOMIC_SPECIES
Ru 101.07 Ru.upf
Os 190.23 Os.upf
CELL_PARAMETERS angstrom
2.6708 0.0000 0.0000
0.0000 2.6708 0.0000
0.0000 0.0000 7.5768
ATOMIC_POSITIONS crystal
Ru 0.5000 0.5000 0.2510
Ru 0.0000 0.0000 0.5000
Ru 0.5000 0.5000 0.7490
Os 0.0000 0.0000 0.0000

Entry 9:
! GGA-PBEsol Sm2In, relaxed; values from VASP
! DOS at the Fermi energy, states/eV/atom: 1.46
! Density, Mg/m³: 8.1
! DFT total energy, eV per cell: -28.593
! Space-group type: P6_3/mmc
! Energy of formation from the pure elements, meV/atom: -376.3
&SYSTEM
  ibrav = 0, nat = 6, ntyp = 2
/
ATOMIC_SPECIES
Sm 150.36 Sm.upf
In 114.82 In.upf
CELL_PARAMETERS angstrom
5.4037 0.0000 0.0000
-2.7018 4.6797 0.0000
0.0000 0.0000 6.7278
ATOMIC_POSITIONS crystal
Sm 0.3333 0.6667 0.7500
Sm 0.6667 0.3333 0.2500
Sm 0.0000 0.0000 0.5000
Sm 0.0000 0.0000 0.0000
In 0.3333 0.6667 0.2500
In 0.6667 0.3333 0.7500

Entry 10:
! GGA-PBEsol BeInNi, relaxed; values from VASP
! DOS at the Fermi energy, states/eV/atom: 0.26
! Polymorph energy (0 for the lowest one), meV/atom: 0
! Density, Mg/m³: 7.8
! DFT total energy, eV per cell: -13.326
! Space-group type: I4mm
! Energy of formation from the pure elements, meV/atom: -62.0
&SYSTEM
  ibrav = 0, nat = 3, ntyp = 3
/
ATOMIC_SPECIES
Be 9.01 Be.upf
Ni 58.69 Ni.upf
In 114.82 In.upf
CELL_PARAMETERS angstrom
2.9768 0.0000 0.0000
0.0000 2.9768 0.0000
-1.4884 -1.4884 4.3727
ATOMIC_POSITIONS crystal
Be 0.0378 0.0378 0.0756
Ni 0.6317 0.6317 0.2634
In 0.3305 0.3305 0.6610

Entry 11:
! GGA-PBEsol LiHg2Ru, relaxed; values from VASP
! DOS at the Fermi energy, states/eV/atom: 0.51
! Polymorph energy (0 for the lowest one), meV/atom: 125
! Density, Mg/m³: 12.5
! DFT total energy, eV per cell: -12.741
! Space-group type: Cm
! Energy of formation from the pure elements, meV/atom: 133.0
&SYSTEM
  ibrav = 0, nat = 4, ntyp = 3
/
ATOMIC_SPECIES
Hg 200.59 Hg.upf
Li 6.94 Li.upf
Ru 101.07 Ru.upf
CELL_PARAMETERS angstrom
-1.9202 1.2409 -1.9004
-3.2774 -3.1871 1.2304
0.5087 3.3902 4.0251
ATOMIC_POSITIONS crystal
Hg 0.9929 0.9104 0.9858
Hg 0.7515 0.3251 0.5030
Li 0.5049 0.4371 0.0099
Ru 0.2507 0.8274 0.5013

Entry 12:
! GGA-PBEsol Ba3PdS, relaxed; values from VASP
! Uncorrected formation energy, eV per atom: -0.4075
! DOS at the Fermi energy, states/eV/atom: 0.89
! Density, Mg/m³: 4.4
! DFT total energy, eV per cell: -18.827
! Space-group type: Pm-3m
&SYSTEM
  ibrav = 0, nat = 5, ntyp = 3
/
ATOMIC_SPECIES
Pd 106.42 Pd.upf
Ba 137.33 Ba.upf
S 32.06 S.upf
CELL_PARAMETERS angstrom
-4.3010 3.3790 -2.2179
-2.0347 -4.6085 -3.0753
-3.4924 -1.4765 4.5232
ATOMIC_POSITIONS crystal
Pd 0.0000 0.0000 0.0000
Ba 0.0000 0.5000 0.0000
Ba 0.0000 0.0000 0.5000
Ba 0.5000 0.0000 0.0000
S 0.5000 0.5000 0.5000

What did the eleventh record say?
! GGA-PBEsol LiHg2Ru, relaxed; values from VASP
! DOS at the Fermi energy, states/eV/atom: 0.51
! Polymorph energy (0 for the lowest one), meV/atom: 125
! Density, Mg/m³: 12.5
! DFT total energy, eV per cell: -12.741
! Space-group type: Cm
! Energy of formation from the pure elements, meV/atom: 133.0
&SYSTEM
  ibrav = 0, nat = 4, ntyp = 3
/
ATOMIC_SPECIES
Hg 200.59 Hg.upf
Li 6.94 Li.upf
Ru 101.07 Ru.upf
CELL_PARAMETERS angstrom
-1.9202 1.2409 -1.9004
-3.2774 -3.1871 1.2304
0.5087 3.3902 4.0251
ATOMIC_POSITIONS crystal
Hg 0.9929 0.9104 0.9858
Hg 0.7515 0.3251 0.5030
Li 0.5049 0.4371 0.0099
Ru 0.2507 0.8274 0.5013